# 1
# GGA-PBE Ac6PdSe5, relaxed
data_Ac6PdSe5
_space_group_name_H-M_alt 'C 1 2/m 1'
_space_group_IT_number 12
_cell_length_a 7.7811
_cell_length_b 13.4336
_cell_length_c 7.7568
_cell_angle_alpha 90.00
_cell_angle_beta 109.59
_cell_angle_gamma 90.00
loop_
_space_group_symop_operation_xyz
'x,y,z'
'-x,-y,-z'
'-x,y,-z'
'x,-y,z'
'x+1/2,y+1/2,z'
'-x+1/2,-y+1/2,-z'
'-x+1/2,y+1/2,-z'
'x+1/2,-y+1/2,z'
loop_
_atom_site_label
_atom_site_fract_x
_atom_site_fract_y
_atom_site_fract_z
Ac1 0.2445 0.1638 0.2450
Ac2 0.2446 0.0000 0.7516
Pd1 0.0000 0.0000 0.0000
Se1 0.0000 0.1719 0.5000
Se2 0.0000 0.3344 0.0000
Se3 0.0000 0.5000 0.5000
# - ΔE_f (raw) (eV/f.u.) = -20.15

=====

# 2
# GGA-PBE AcPdSe2, relaxed
data_AcPdSe2
_space_group_name_H-M_alt 'R -3 m'
_space_group_IT_number 166
_space_group_name_Hall '-R 3 2"'
_cell_length_a 4.6945
_cell_length_b 4.6945
_cell_length_c 15.2484
_cell_angle_alpha 90.00
_cell_angle_beta 90.00
_cell_angle_gamma 120.00
loop_
_atom_site_label
_atom_site_fract_x
_atom_site_fract_y
_atom_site_fract_z
Ac1 0.0000 0.0000 0.0000
Pd1 0.0000 0.0000 0.5000
Se1 0.0000 0.0000 0.2292
# - ΔE_f (raw) (eV/f.u.) = -4.43

=====

# 3
# GGA-PBE AcPdSe, relaxed
data_AcPdSe
_space_group_name_H-M_alt 'I 4 m m'
_space_group_IT_number 107
_space_group_name_Hall 'I 4 -2'
_cell_length_a 4.1902
_cell_length_b 4.1902
_cell_length_c 9.0881
_cell_angle_alpha 90.00
_cell_angle_beta 90.00
_cell_angle_gamma 90.00
loop_
_atom_site_label
_atom_site_fract_x
_atom_site_fract_y
_atom_site_fract_z
Ac1 0.0000 0.0000 0.0000
Pd1 0.0000 0.0000 0.6529
Se1 0.0000 0.0000 0.3634
# - ΔE_f (raw) (eV/f.u.) = -3.03

=====

# 4
# GGA-PBE AcPdSe, relaxed
data_AcPdSe
_space_group_name_H-M_alt 'F -4 3 m'
_space_group_IT_number 216
_space_group_name_Hall 'F -4 2 3'
_cell_length_a 6.8874
_cell_length_b 6.8874
_cell_length_c 6.8874
_cell_angle_alpha 90.00
_cell_angle_beta 90.00
_cell_angle_gamma 90.00
loop_
_atom_site_label
_atom_site_fract_x
_atom_site_fract_y
_atom_site_fract_z
Ac1 0.0000 0.0000 0.0000
Pd1 0.2500 0.2500 0.2500
Se1 0.0000 0.0000 0.5000
# - ΔE_f (raw) (eV/f.u.) = -3.05